VASP calculation (PBE-GGA) on DyY2Tl3 after structural relaxation.

Energy of formation from the pure elements ... -0.3668 eV/atom
Density of states at the Fermi level ... 0.73 states/eV per atom
Mass density ... 9.6 g/cm³
Relative energy among the computed polymorphs ... 0.0 meV per atom

abc: 3.7601 3.7601 11.6195
angles: 90.00 90.00 90.00
Atoms (fractional coordinates):
Dy  0.5000  0.5000  0.5000
Y  0.5000  0.5000  0.8331
Y  0.5000  0.5000  0.1669
Tl  0.0000  0.0000  0.0000
Tl  0.0000  0.0000  0.6661
Tl  0.0000  0.0000  0.3339

=====

VASP calculation (PBE-GGA) on Ce3ErSc2P6 after structural relaxation.

Energy of formation from the pure elements ... -1.4976 eV/atom
Density of states at the Fermi level ... 1.07 states/eV per atom
Mass density ... 5.4 g/cm³

abc: 6.8761 6.8761 6.8253
angles: 99.68 99.68 120.01
Site moments in Bohr magnetons follow the coordinates.
Atoms (fractional coordinates):
Ce  0.1652  0.8348  0.5000  0.41
Ce  0.8348  0.1652  0.5000  0.41
Ce  0.5000  0.5000  0.5000  0.40
Er  0.0000  0.0000  0.0000  0.00
Sc  0.3328  0.6672  0.0000  0.01
Sc  0.6672  0.3328  0.0000  0.01
P  0.9212  0.5812  0.7637  -0.01
P  0.7379  0.7379  0.2344  -0.01
P  0.0788  0.4188  0.2363  -0.01
P  0.5812  0.9212  0.7637  -0.01
P  0.2621  0.2621  0.7656  -0.01
P  0.4188  0.0788  0.2363  -0.01

=====

VASP calculation (PBE-GGA) on Pr3Se2O after structural relaxation.

ΔE_f (raw) ... -12.04 eV/f.u.
Density of states at the Fermi level ... 0.40 states/eV per atom
Mass density ... 6.9 g/cm³

abc: 3.8937 5.8106 7.2066
angles: 113.77 105.67 90.00
Atoms (fractional coordinates):
Pr  0.3665  0.3665  0.7330
Pr  0.0000  0.0000  0.0000
Pr  0.6335  0.6335  0.2670
Se  0.6816  0.1816  0.3633
Se  0.3184  0.8184  0.6367
O  0.0000  0.5000  0.0000

=====

VASP calculation (PBE-GGA) on CdPb3F after structural relaxation.

ΔE_f (raw) ... -2.09 eV/f.u.
Density of states at the Fermi level ... 0.51 states/eV per atom
Mass density ... 9.1 g/cm³
Relative energy among the computed polymorphs ... 0.0 meV per atom

abc: 5.1579 5.1579 5.1579
angles: 90.00 90.00 90.00
Atoms (fractional coordinates):
Pb  0.0000  0.5000  0.0000
Pb  0.0000  0.0000  0.5000
Pb  0.5000  0.0000  0.0000
F  0.0000  0.0000  0.0000
Cd  0.5000  0.5000  0.5000

=====

VASP calculation (PBE-GGA) on KMgI2 after structural relaxation.

ΔE_f (raw) ... -3.21 eV/f.u.
Density of states at the Fermi level ... 0.07 states/eV per atom
Mass density ... 2.5 g/cm³
Relative energy among the computed polymorphs ... 0.0 meV per atom

abc: 7.0830 7.0830 9.8737
angles: 68.98 68.98 90.00
Atoms (fractional coordinates):
I  0.5621  0.1250  0.2500
I  0.1879  0.6250  0.2500
I  0.3750  0.4379  0.7500
I  0.8750  0.8121  0.7500
K  0.0000  0.0000  0.0000
K  0.7500  0.2500  0.5000
Mg  0.5000  0.5000  0.0000
Mg  0.2500  0.7500  0.5000

=====

VASP calculation (PBE-GGA) on Na3ZrSi after structural relaxation.

ΔE_f (raw) ... 8.12 eV/f.u.
Density of states at the Fermi level ... 1.10 states/eV per atom
Mass density ... 1.6 g/cm³
Relative energy among the computed polymorphs ... 625.4 meV per atom

abc: 5.8156 5.8156 5.8156
angles: 90.00 90.00 90.00
Site moments in Bohr magnetons follow the coordinates.
Atoms (fractional coordinates):
Na  0.0000  0.5000  0.0000  0.05
Na  0.0000  0.0000  0.5000  0.04
Na  0.5000  0.0000  0.0000  0.05
Si  0.5000  0.5000  0.5000  -0.28
Zr  0.0000  0.0000  0.0000  1.95

=====

VASP calculation (PBE-GGA) on KNa6Hg4 after structural relaxation.

Energy of formation from the pure elements ... -0.1833 eV/atom
Density of states at the Fermi level ... 0.45 states/eV per atom
Mass density ... 4.7 g/cm³

abc: 4.8282 9.1211 9.1211
angles: 120.00 90.00 90.00
Atoms (fractional coordinates):
K  0.0000  0.0000  0.0000
Na  0.0000  0.5306  0.0613
Na  0.5000  0.5997  0.7999
Na  0.0000  0.5306  0.4694
Na  0.0000  0.9387  0.4694
Na  0.5000  0.2001  0.7999
Na  0.5000  0.2001  0.4003
Hg  0.5000  0.7934  0.5868
Hg  0.5000  0.4132  0.2066
Hg  0.5000  0.7934  0.2066
Hg  0.0000  0.3333  0.6667

=====

VASP calculation (PBE-GGA) on Dy2Tm2Pd after structural relaxation.

Energy of formation from the pure elements ... -0.2610 eV/atom
Density of states at the Fermi level ... 1.61 states/eV per atom
Mass density ... 8.8 g/cm³

abc: 7.5512 7.0112 7.7295
angles: 73.26 57.67 57.42
Atoms (fractional coordinates):
Dy  0.5608  0.4314  0.7512
Dy  0.4392  0.5686  0.2488
Dy  0.9922  0.5686  0.7512
Dy  0.0078  0.4314  0.2488
Tm  0.8576  0.0000  0.3898
Tm  0.6233  0.0000  0.1178
Tm  0.3767  0.0000  0.8822
Tm  0.1424  0.0000  0.6102
Pd  0.1192  0.7617  0.0000
Pd  0.8808  0.2383  0.0000

=====

VASP calculation (PBE-GGA) on Re2NiRh after structural relaxation.

Energy of formation from the pure elements ... 0.7460 eV/atom
Density of states at the Fermi level ... 1.21 states/eV per atom
Mass density ... 14.8 g/cm³
Relative energy among the computed polymorphs ... 829.4 meV per atom

abc: 6.8298 6.8298 5.4677
angles: 51.35 51.35 90.00
Atoms (fractional coordinates):
Re  0.5997  0.1250  0.2500
Re  0.1503  0.6250  0.2500
Re  0.3750  0.4003  0.7500
Re  0.8750  0.8497  0.7500
Rh  0.0000  0.0000  0.0000
Rh  0.7500  0.2500  0.5000
Ni  0.5000  0.5000  0.0000
Ni  0.2500  0.7500  0.5000

=====

VASP calculation (PBE-GGA) on AlSiAg2As after structural relaxation.

ΔE_f (raw) ... 3.09 eV/f.u.
Density of states at the Fermi level ... 0.75 states/eV per atom
Mass density ... 5.2 g/cm³

abc: 4.8168 4.7370 4.8168
angles: 90.00 90.00 90.00
Atoms (fractional coordinates):
As  0.5000  0.5000  0.5000
Si  0.0000  0.0000  0.0000
Ag  0.0000  0.0000  0.5000
Ag  0.5000  0.0000  0.0000
Al  0.0000  0.5000  0.0000

=====

VASP calculation (PBE-GGA) on Nd3Sm4PuSe8 after structural relaxation.

ΔE_f (raw) ... -28.76 eV/f.u.
Density of states at the Fermi level ... 0.91 states/eV per atom
Mass density ... 7.6 g/cm³

abc: 8.3852 8.3809 8.3850
angles: 120.01 120.00 90.00
Site moments in Bohr magnetons follow the coordinates.
Atoms (fractional coordinates):
Nd  0.5000  0.5000  0.0000  0.02
Nd  0.5000  0.5000  0.5000  0.02
Nd  0.0000  0.5000  0.5000  0.02
Sm  0.5000  0.0000  0.0000  -0.05
Sm  0.5000  0.0000  0.5000  0.02
Sm  0.0000  0.0000  0.0000  0.02
Sm  0.0000  0.0000  0.5000  0.02
Pu  0.0000  0.5000  0.0000  5.47
Se  0.2488  0.7521  0.0032  -0.02
Se  0.2489  0.7521  0.4977  -0.02
Se  0.2483  0.2449  0.4967  0.00
Se  0.7544  0.7521  0.0032  -0.02
Se  0.2456  0.2479  0.9968  -0.02
Se  0.7517  0.7551  0.5033  0.00
Se  0.7511  0.2479  0.5023  -0.02
Se  0.7512  0.2479  0.9968  -0.02

=====

VASP calculation (PBE-GGA) on BeCdW2 after structural relaxation.

Energy of formation from the pure elements ... 0.4362 eV/atom
Density of states at the Fermi level ... 0.39 states/eV per atom
Mass density ... 12.9 g/cm³
Relative energy among the computed polymorphs ... 85.2 meV per atom

abc: 4.2041 2.7923 5.4464
angles: 80.50 90.00 90.00
Atoms (fractional coordinates):
Be  0.0000  0.6392  0.4694
W  0.0000  0.0187  0.0251
W  0.5000  0.2358  0.2664
Cd  0.5000  0.6062  0.7390